DFT (SCAN) results for a PBEsol-optimized structure of K2HfPt.

Values from the calculation:
DOS(E_F) = 5.0 states/eV per cell
SG = No. 225

Unit cell a=5.332 b=5.332 c=5.332 alpha=60.00 beta=60.00 gamma=60.00
Fractional positions:
K 0.250 0.250 0.250
K 0.750 0.750 0.750
Hf 0.000 0.000 0.000
Pt 0.500 0.500 0.500

=====

DFT (SCAN) results for a PBEsol-optimized structure of KHfSn2Pt.

Values from the calculation:
DOS(E_F) = 5.1 states/eV per cell
SG = No. 123

Unit cell a=5.107 b=5.107 c=5.353 alpha=90.00 beta=90.00 gamma=90.00
Fractional positions:
K 0.000 0.000 0.500
Hf 0.500 0.500 0.500
Sn 0.000 0.500 0.000
Sn 0.500 0.000 0.000
Pt 0.000 0.000 0.000

=====

DFT (SCAN) results for a PBEsol-optimized structure of KRbHfRe2.

Values from the calculation:
DOS(E_F) = 4.8 states/eV per cell
SG = No. 123

Unit cell a=4.846 b=4.846 c=4.954 alpha=90.00 beta=90.00 gamma=90.00
Fractional positions:
Re 0.000 0.500 0.000
Re 0.500 0.000 0.000
K 0.000 0.000 0.000
Hf 0.000 0.000 0.500
Rb 0.500 0.500 0.500

=====

| no. | E_form (eV/atom) |
| --- | --- |
| 1 | 1.266 |
| 2 | 0.607 |
| 3 | 3.542 |